{"formula": "SiGeTeIr2", "functional": "PBE", "state": "relaxed", "dos_ef_per_ev_cell": 4.1, "final_energy_ev_per_cell": -22.982, "spacegroup": "P4/mmm (123)", "e_form_raw_kj_per_mol_atoms": 153, "cell": [[4.9027, 0.0000, 0.0000], [0.0000, 4.9027, 0.0000], [0.0000, 0.0000, 5.0966]], "species": ["Si", "Ge", "Te", "Ir", "Ir"], "fractional_positions": [[0.0000, 0.0000, 0.0000], [0.5000, 0.5000, 0.0000], [0.0000, 0.0000, 0.5000], [0.0000, 0.5000, 0.5000], [0.5000, 0.0000, 0.5000]]}